1.
Computed, not measured: crystalline Ca2CdFe at its relaxed geometry at the GGA-PBE level of DFT.

Output
ΔH_f (0 K)	0.177	eV/atom
total magnetization	4.37	μB per cell

The structure in CIF format:
```
data_Ca2CdFe
_space_group_name_H-M_alt 'A m m 2'
_space_group_IT_number 38
_cell_length_a 4.696
_cell_length_b 3.985
_cell_length_c 11.570
_cell_angle_alpha 90.00
_cell_angle_beta 90.00
_cell_angle_gamma 90.00
loop_
_space_group_symop_operation_xyz
'x,y,z'
'-x,-y,z'
'-x,y,z'
'x,-y,z'
'x,y+1/2,z+1/2'
'-x,-y+1/2,z+1/2'
'-x,y+1/2,z+1/2'
'x,-y+1/2,z+1/2'
loop_
_atom_site_label
_atom_site_type_symbol
_atom_site_fract_x
_atom_site_fract_y
_atom_site_fract_z
Ca1 Ca 0.000 0.000 0.000
Ca2 Ca 0.500 0.000 0.297
Cd1 Cd 0.500 0.000 0.586
Fe1 Fe 0.000 0.000 0.708
```



2.
Computed, not measured: crystalline Pm4PuIn5 at its relaxed geometry at the GGA-PBE level of DFT.

Output
ΔH_f (0 K)	-0.410	eV/atom
total magnetization	5.88	μB per cell

The structure in CIF format:
```
data_Pm4PuIn5
_space_group_name_H-M_alt 'P 4/m m m'
_space_group_IT_number 123
_space_group_name_Hall '-P 4 2'
_cell_length_a 3.517
_cell_length_b 3.517
_cell_length_c 22.530
_cell_angle_alpha 90.00
_cell_angle_beta 90.00
_cell_angle_gamma 90.00
loop_
_atom_site_label
_atom_site_type_symbol
_atom_site_fract_x
_atom_site_fract_y
_atom_site_fract_z
Pm1 Pm 0.000 0.000 0.100
Pm2 Pm 0.000 0.000 0.298
Pu1 Pu 0.000 0.000 0.500
In1 In 0.500 0.500 0.000
In2 In 0.500 0.500 0.200
In3 In 0.500 0.500 0.400
```



3.
Computed, not measured: crystalline SrCd2Cu at its relaxed geometry at the GGA-PBE level of DFT.

Output
ΔH_f (0 K)	-0.069	eV/atom
total magnetization	0.00	μB per cell

The structure in CIF format:
```
data_SrCd2Cu
_space_group_name_H-M_alt 'I m m 2'
_space_group_IT_number 44
_cell_length_a 4.908
_cell_length_b 5.532
_cell_length_c 7.357
_cell_angle_alpha 90.00
_cell_angle_beta 90.00
_cell_angle_gamma 90.00
loop_
_space_group_symop_operation_xyz
'x,y,z'
'-x,-y,z'
'-x,y,z'
'x,-y,z'
'x+1/2,y+1/2,z+1/2'
'-x+1/2,-y+1/2,z+1/2'
'-x+1/2,y+1/2,z+1/2'
'x+1/2,-y+1/2,z+1/2'
loop_
_atom_site_label
_atom_site_type_symbol
_atom_site_fract_x
_atom_site_fract_y
_atom_site_fract_z
Sr1 Sr 0.000 0.000 0.000
Cd1 Cd 0.000 0.000 0.526
Cd2 Cd 0.000 0.500 0.785
Cu1 Cu 0.000 0.500 0.201
```



4.
Computed, not measured: crystalline Ca2TbGa3Au12 at its relaxed geometry at the GGA-PBE level of DFT.

Output
ΔH_f (0 K)	-0.286	eV/atom
total magnetization	0.00	μB per cell

The structure in CIF format:
```
data_Ca2TbGa3Au12
_space_group_name_H-M_alt 'R -3 m'
_space_group_IT_number 166
_space_group_name_Hall '-R 3 2"'
_cell_length_a 6.9420
_cell_length_b 6.9420
_cell_length_c 29.8760
_cell_angle_alpha 90.00
_cell_angle_beta 90.00
_cell_angle_gamma 120.00
loop_
_atom_site_label
_atom_site_type_symbol
_atom_site_fract_x
_atom_site_fract_y
_atom_site_fract_z
Ca1 Ca 0.0000 0.0000 0.1372
Tb1 Tb 0.0000 0.0000 0.5000
Ga1 Ga 0.0000 0.5000 0.0000
Au1 Au 0.0505 0.5252 0.8906
Au2 Au 0.0634 0.5317 0.6219
```



5.
Computed, not measured: crystalline Mg2ScTc at its relaxed geometry at the GGA-PBE level of DFT.

Output
offset from the most stable computed form	0.0876	eV per atom
ΔH_f (0 K)	0.105	eV/atom
total magnetization	0.00	μB per cell

The structure in CIF format:
```
data_Mg2ScTc
_space_group_name_H-M_alt 'I m m 2'
_space_group_IT_number 44
_cell_length_a 3.255
_cell_length_b 5.011
_cell_length_c 9.543
_cell_angle_alpha 90.00
_cell_angle_beta 90.00
_cell_angle_gamma 90.00
loop_
_space_group_symop_operation_xyz
'x,y,z'
'-x,-y,z'
'-x,y,z'
'x,-y,z'
'x+1/2,y+1/2,z+1/2'
'-x+1/2,-y+1/2,z+1/2'
'-x+1/2,y+1/2,z+1/2'
'x+1/2,-y+1/2,z+1/2'
loop_
_atom_site_label
_atom_site_type_symbol
_atom_site_fract_x
_atom_site_fract_y
_atom_site_fract_z
Mg1 Mg 0.000 0.000 0.000
Mg2 Mg 0.000 0.500 0.230
Sc1 Sc 0.000 0.500 0.789
Tc1 Tc 0.000 0.000 0.501
```



6.
Computed, not measured: crystalline K2ZnTe2 at its relaxed geometry at the GGA-PBE level of DFT.

Output
uncorrected formation energy	-2.79	eV/f.u.
offset from the most stable computed form	0.3197	eV per atom
total magnetization	0.00	μB per cell

The structure in CIF format:
```
data_K2ZnTe2
_space_group_name_H-M_alt 'P 4/m b m'
_space_group_IT_number 127
_space_group_name_Hall '-P 4 2ab'
_cell_length_a 8.095
_cell_length_b 8.095
_cell_length_c 5.267
_cell_angle_alpha 90.00
_cell_angle_beta 90.00
_cell_angle_gamma 90.00
loop_
_atom_site_label
_atom_site_type_symbol
_atom_site_fract_x
_atom_site_fract_y
_atom_site_fract_z
K1 K 0.140 0.360 0.000
Zn1 Zn 0.000 0.000 0.500
Te1 Te 0.180 0.680 0.500
```



7.
Computed, not measured: crystalline CaTlZn at its relaxed geometry at the GGA-PBE level of DFT.

Output
ΔH_f (0 K)	-0.297	eV/atom
total magnetization	0.00	μB per cell

The structure in CIF format:
```
data_CaTlZn
_space_group_name_H-M_alt 'C 1 2/m 1'
_space_group_IT_number 12
_cell_length_a 11.251
_cell_length_b 4.729
_cell_length_c 7.490
_cell_angle_alpha 90.00
_cell_angle_beta 131.16
_cell_angle_gamma 90.00
loop_
_space_group_symop_operation_xyz
'x,y,z'
'-x,-y,-z'
'-x,y,-z'
'x,-y,z'
'x+1/2,y+1/2,z'
'-x+1/2,-y+1/2,-z'
'-x+1/2,y+1/2,-z'
'x+1/2,-y+1/2,z'
loop_
_atom_site_label
_atom_site_type_symbol
_atom_site_fract_x
_atom_site_fract_y
_atom_site_fract_z
Ca1 Ca 0.042 0.000 0.292
Tl1 Tl 0.177 0.500 0.119
Zn1 Zn 0.148 0.500 0.684
```



8.
Computed, not measured: crystalline Zn2PCl at its relaxed geometry at the GGA-PBE level of DFT.

Output
uncorrected formation energy	0.51	eV/f.u.
offset from the most stable computed form	0.6548	eV per atom
total magnetization	0.02	μB per cell

The structure in CIF format:
```
data_Zn2PCl
_space_group_name_H-M_alt 'I -4 m 2'
_space_group_IT_number 119
_space_group_name_Hall 'I -4 -2'
_cell_length_a 3.523
_cell_length_b 3.523
_cell_length_c 13.202
_cell_angle_alpha 90.00
_cell_angle_beta 90.00
_cell_angle_gamma 90.00
loop_
_atom_site_label
_atom_site_type_symbol
_atom_site_fract_x
_atom_site_fract_y
_atom_site_fract_z
Zn1 Zn 0.000 0.000 0.000
Zn2 Zn 0.000 0.500 0.250
P1 P 0.000 0.000 0.500
Cl1 Cl 0.000 0.500 0.750
```



9.
Computed, not measured: crystalline DyH2I at its relaxed geometry at the GGA-PBE level of DFT.

Output
VASP energy	-3.976	eV per atom
total magnetization	0.00	μB per cell

The structure in CIF format:
```
data_DyH2I
_space_group_name_H-M_alt 'R -3 m'
_space_group_IT_number 166
_space_group_name_Hall '-R 3 2"'
_cell_length_a 3.7988
_cell_length_b 3.7988
_cell_length_c 15.5747
_cell_angle_alpha 90.00
_cell_angle_beta 90.00
_cell_angle_gamma 120.00
loop_
_atom_site_label
_atom_site_type_symbol
_atom_site_fract_x
_atom_site_fract_y
_atom_site_fract_z
Dy1 Dy 0.0000 0.0000 0.0000
H1 H 0.0000 0.0000 0.3085
I1 I 0.0000 0.0000 0.5000
```



10.
Computed, not measured: crystalline Al5FeNi4 at its relaxed geometry at the GGA-PBE level of DFT.

Output
ΔH_f (0 K)	-0.597	eV/atom
total magnetization	0.00	μB per cell

The structure in CIF format:
```
data_Al5FeNi4
_space_group_name_H-M_alt 'P 4/m m m'
_space_group_IT_number 123
_space_group_name_Hall '-P 4 2'
_cell_length_a 2.897
_cell_length_b 2.897
_cell_length_c 14.322
_cell_angle_alpha 90.00
_cell_angle_beta 90.00
_cell_angle_gamma 90.00
loop_
_atom_site_label
_atom_site_type_symbol
_atom_site_fract_x
_atom_site_fract_y
_atom_site_fract_z
Al1 Al 0.000 0.000 0.000
Al2 Al 0.000 0.000 0.200
Al3 Al 0.000 0.000 0.404
Fe1 Fe 0.500 0.500 0.500
Ni1 Ni 0.500 0.500 0.102
Ni2 Ni 0.500 0.500 0.301
```



11.
Computed, not measured: crystalline MoPb at its relaxed geometry at the GGA-PBE level of DFT.

Output
offset from the most stable computed form	0.4251	eV per atom
ΔH_f (0 K)	0.751	eV/atom
total magnetization	0.00	μB per cell

The structure in CIF format:
```
data_MoPb
_space_group_name_H-M_alt 'P 21 3'
_space_group_IT_number 198
_space_group_name_Hall 'P 2ac 2ab 3'
_cell_length_a 5.451
_cell_length_b 5.451
_cell_length_c 5.451
_cell_angle_alpha 90.00
_cell_angle_beta 90.00
_cell_angle_gamma 90.00
loop_
_atom_site_label
_atom_site_type_symbol
_atom_site_fract_x
_atom_site_fract_y
_atom_site_fract_z
Mo1 Mo 0.112 0.388 0.612
Pb1 Pb 0.096 0.904 0.404
```



12.
Computed, not measured: crystalline HoHfSb2 at its relaxed geometry at the GGA-PBE level of DFT.

Output
uncorrected formation energy	-2.75	eV/f.u.
offset from the most stable computed form	0.0000	eV per atom
total magnetization	0.00	μB per cell

The structure in CIF format:
```
data_HoHfSb2
_space_group_name_H-M_alt 'R 3 m'
_space_group_IT_number 160
_space_group_name_Hall 'R 3 -2"'
_cell_length_a 4.1348
_cell_length_b 4.1348
_cell_length_c 21.8838
_cell_angle_alpha 90.00
_cell_angle_beta 90.00
_cell_angle_gamma 120.00
loop_
_atom_site_label
_atom_site_type_symbol
_atom_site_fract_x
_atom_site_fract_y
_atom_site_fract_z
Ho1 Ho 0.0000 0.0000 0.0000
Hf1 Hf 0.0000 0.0000 0.1716
Sb1 Sb 0.0000 0.0000 0.4241
Sb2 Sb 0.0000 0.0000 0.5827
```